1.
Density functional theory data (PBE) for crystalline Tb2Tm5ThMg at its relaxed geometry.

Cell lengths 10.254, 10.254, 10.328 Å; angles 90.00, 90.00, 149.34 degrees
Sites, in units of the cell vectors:
1 Tb 0.115 0.885 0.500
2 Tb 0.116 0.884 0.921
3 Tb 0.884 0.116 0.421
4 Tb 0.885 0.115 0.000
5 Tm 0.014 0.986 0.210
6 Tm 0.288 0.712 0.509
7 Tm 0.288 0.712 0.911
8 Tm 0.383 0.617 0.210
9 Tm 0.500 0.500 0.460
10 Tm 0.500 0.500 0.960
11 Tm 0.617 0.383 0.710
12 Tm 0.712 0.288 0.009
13 Tm 0.712 0.288 0.411
14 Tm 0.986 0.014 0.710
15 Th 0.202 0.798 0.210
16 Th 0.798 0.202 0.710
17 Mg 0.404 0.596 0.709
18 Mg 0.596 0.404 0.209

Calculated values
- energy of formation (eV/f.u.) = 1.09
- electronic total energy (eV/atom) = -4.394
- total moment (μB/f.u.) = 0.00
- calculated density (g/cm3) = 8.5
- SG = No. 36

***

2.
Density functional theory data (PBE) for crystalline AcCrSb at its relaxed geometry.

Cell lengths 8.936, 8.684, 6.540 Å; angles 70.28, 66.17, 43.55 degrees
Sites, in units of the cell vectors:
1 Ac 0.000 0.000 0.000
2 Ac 0.000 0.000 0.500
3 Ac 0.000 0.500 0.000
4 Ac 0.500 0.000 0.000
5 Cr 0.279 0.471 0.279
6 Cr 0.471 0.279 0.471
7 Cr 0.529 0.721 0.529
8 Cr 0.721 0.529 0.721
9 Sb 0.200 0.200 0.550
10 Sb 0.450 0.450 0.800
11 Sb 0.550 0.550 0.200
12 Sb 0.800 0.800 0.450

Calculated values
- electronic total energy (eV/atom) = -5.990
- total moment (μB/f.u.) = 0.00
- calculated density (g/cm3) = 8.3
- SG = No. 70